{
  "formula": "MoIr2Se",
  "functional": "PBE",
  "state": "relaxed",
  "formation_energy_uncorrected_ev_per_atom": 0.171,
  "lattice": [[2.8520, 0.0000, 0.0000], [0.0000, 4.2711, 0.0000], [-1.4047, 0.0000, 5.0505]],
  "species": ["Mo", "Ir", "Ir", "Se"],
  "fractional_positions": [[0.0000, 0.0000, 0.0000], [0.3688, 0.5000, 0.7451], [0.6312, 0.5000, 0.2549], [0.0000, 0.0000, 0.5000]]
}